LaMgCrAgO6: relaxed, GGA+U.

```
data_LaMgCrAgO6
_chemical_formula_sum 'La2 Mg2 Cr2 Ag2 O12'
_space_group_name_H-M_alt 'P 1'
_space_group_IT_number 1
_space_group_name_Hall 'P 1'
_cell_length_a 5.470
_cell_length_b 5.745
_cell_length_c 9.541
_cell_angle_alpha 90.00
_cell_angle_beta 124.86
_cell_angle_gamma 90.00
loop_
_atom_site_label
_atom_site_type_symbol
_atom_site_fract_x
_atom_site_fract_y
_atom_site_fract_z
_atom_site_occupancy
La1 La 0.000 0.201 0.000 1
La2 La 0.000 0.799 0.500 1
Mg1 Mg 0.456 0.301 0.458 1
Mg2 Mg 0.456 0.699 0.958 1
Cr1 Cr 0.733 0.248 0.251 1
Cr2 Cr 0.733 0.752 0.751 1
Ag1 Ag 0.232 0.255 0.746 1
Ag2 Ag 0.232 0.745 0.246 1
O1 O 0.023 0.463 0.352 1
O2 O 0.023 0.537 0.852 1
O3 O 0.115 0.063 0.313 1
O4 O 0.115 0.937 0.813 1
O5 O 0.417 0.410 0.228 1
O6 O 0.417 0.590 0.728 1
O7 O 0.559 0.032 0.682 1
O8 O 0.559 0.968 0.182 1
O9 O 0.615 0.349 0.029 1
O10 O 0.615 0.651 0.529 1
O11 O 0.832 0.176 0.487 1
O12 O 0.832 0.824 0.987 1
```

Density, g/cm3: 5.657
VASP energy, eV/atom: -6.46
DOS at the Fermi energy, states/eV per cell: 2.91
Size of the total moment, μB/f.u.: 0.01